(1)
Material: Dy4TeRh
Method: DFT, GGA-PBE
State: optimized geometry

Lattice parameters (Å, degrees): 3.940 8.264 19.462 90.00 90.00 90.00
Element x y z (fractional)
Dy: 0.750 0.864 0.649
Dy: 0.250 0.136 0.351
Dy: 0.250 0.636 0.149
Dy: 0.750 0.364 0.851
Dy: 0.750 0.856 0.451
Dy: 0.250 0.144 0.549
Dy: 0.250 0.644 0.951
Dy: 0.750 0.356 0.049
Dy: 0.750 0.013 0.932
Dy: 0.250 0.987 0.068
Dy: 0.250 0.487 0.432
Dy: 0.750 0.513 0.568
Dy: 0.750 0.957 0.216
Dy: 0.250 0.043 0.784
Dy: 0.250 0.543 0.716
Dy: 0.750 0.457 0.284
Te: 0.750 0.745 0.812
Te: 0.250 0.255 0.188
Te: 0.250 0.755 0.312
Te: 0.750 0.245 0.688
Rh: 0.750 0.231 0.450
Rh: 0.250 0.769 0.550
Rh: 0.250 0.269 0.950
Rh: 0.750 0.731 0.050

Computed properties:
ΔE to the lowest computed polymorph: 0 meV per atom
Space-group type: Pnma (62)
Formation energy without anion corrections: -0.7912 eV per atom
Final energy: -5.61 eV per atom



(2)
Material: FeNiPd2Se6
Method: DFT, GGA-PBE
State: optimized geometry

Lattice parameters (Å, degrees): 6.505 8.609 8.609 93.12 72.80 72.80
Element x y z (fractional)
Fe: 0.250 0.195 0.805
Fe: 0.750 0.805 0.195
Ni: 0.250 0.940 0.060
Ni: 0.750 0.060 0.940
Pd: 0.503 0.784 0.545
Pd: 0.997 0.455 0.216
Pd: 0.497 0.216 0.455
Pd: 0.003 0.545 0.784
Se: 0.145 0.951 0.818
Se: 0.355 0.182 0.049
Se: 0.855 0.049 0.182
Se: 0.645 0.818 0.951
Se: 0.371 0.973 0.359
Se: 0.129 0.641 0.027
Se: 0.629 0.027 0.641
Se: 0.871 0.359 0.973
Se: 0.179 0.674 0.546
Se: 0.321 0.454 0.326
Se: 0.821 0.326 0.454
Se: 0.679 0.546 0.674

Computed properties:
Space-group type: C2/c (15)
Formation energy without anion corrections: -0.0893 eV per atom
Final energy: -4.64 eV per atom



- Number 1 is which compound?
  Dy4TeRh



- Which value of formation energy without anion corrections does entry 1 give?
  -0.7912 eV per atom